No. 1
Density functional theory data (PBE) for a relaxed LaTa2ZnP crystal.

Geometry as POSCAR:
```
LaTa2ZnP
1.0
4.668 0.000 0.000
0.000 4.668 0.000
0.000 0.000 5.468
La Ta Zn P
1 2 1 1
Direct
0.000 0.000 0.000
0.000 0.500 0.500
0.500 0.000 0.500
0.500 0.500 0.000
0.000 0.000 0.500
```

Results
The space-group type is P4/mmm (123). For the density of states at the Fermi level, the calculation gives 0.794 states/eV per atom.



No. 2
Density functional theory data (PBE) for a relaxed CaTa2Al crystal.

Geometry as POSCAR:
```
CaTa2Al
1.0
3.779 0.000 0.000
0.000 4.424 0.000
0.000 0.000 9.695
Ca Ta Al
2 4 2
Direct
0.000 0.000 0.000
0.500 0.500 0.000
0.000 0.000 0.524
0.000 0.500 0.293
0.500 0.000 0.293
0.500 0.500 0.524
0.000 0.500 0.740
0.500 0.000 0.740
```

Results
The space-group type is Cmm2 (35). For the density of states at the Fermi level, the calculation gives 0.797 states/eV per atom.



No. 3
Density functional theory data (PBE) for a relaxed CrMoIN2 crystal.

Geometry as POSCAR:
```
CrMoIN2
1.0
3.854 0.000 0.000
0.000 3.854 0.000
0.000 0.000 5.523
Cr Mo I N
1 1 1 2
Direct
0.000 0.000 0.000
0.500 0.500 0.500
0.000 0.000 0.500
0.000 0.500 0.000
0.500 0.000 0.000
```

Results
For the energy above the most stable polymorph in this dataset, the calculation gives 240 kJ/mol of formula units. As for the uncorrected formation energy: 1.240 eV per atom. The space-group type is P4/mmm (123). For the density of states at the Fermi level, the calculation gives 0.631 states/eV per atom.



No. 4
Density functional theory data (PBE) for a relaxed Ti2MnAu6 crystal.

Geometry as POSCAR:
```
Ti2MnAu6
1.0
7.023 -2.927 0.000
7.023 2.927 0.000
-1.430 0.000 4.369
Ti Mn Au
2 1 6
Direct
0.175 0.175 0.270
0.825 0.825 0.730
0.500 0.500 0.500
0.087 0.587 0.263
0.247 0.753 0.000
0.413 0.913 0.737
0.587 0.087 0.263
0.753 0.247 0.000
0.913 0.413 0.737
```

Results
The space-group type is C2/m (12). For the density of states at the Fermi level, the calculation gives 0.525 states/eV per atom.



| no. | energy (eV per cell) |
| --- | --- |
| 1 | -33.92 |
| 2 | -57.40 |
| 3 | -32.45 |
| 4 | -44.99 |